1.
3
Lattice="-0.051 1.168 2.442 -2.271 -1.347 0.597 4.292 -4.241 0.617" Properties=species:S:1:pos:R:3 comment="Ir2Os SCAN PBEsol geometry" polymorph_energy_ev_per_atom=0.000 volume_a3_per_atom=14.06 total_energy_ev_per_atom=-71.36 dos_at_fermi_per_ev_atom=0.66 magnetic_moment_mub_per_atom=0.00 pbc="T T T"
Ir -0.139 -1.504 2.217
Ir 2.108 -2.917 1.439
Os 0.000 0.000 0.000

2.
4
Lattice="-1.106 -2.181 -1.150 2.463 -0.917 -0.630 0.336 -3.703 6.701" Properties=species:S:1:pos:R:3 comment="IrOs SCAN PBEsol geometry" volume_a3_per_atom=13.99 total_energy_ev_per_atom=-71.45 dos_at_fermi_per_ev_atom=0.66 magnetic_moment_mub_per_atom=0.00 pbc="T T T"
Ir -0.510 -1.566 0.285
Ir 1.524 -3.686 5.526
Os -0.344 -3.400 3.604
Os 1.358 -1.852 2.207

3.
12
Lattice="-0.733 0.064 -3.751 -5.159 -1.301 0.986 -1.896 7.904 0.506" Properties=species:S:1:pos:R:3 comment="Ir2Os SCAN PBEsol geometry" polymorph_energy_ev_per_atom=0.011 volume_a3_per_atom=14.04 total_energy_ev_per_atom=-71.35 dos_at_fermi_per_ev_atom=0.74 magnetic_moment_mub_per_atom=0.00 pbc="T T T"
Ir -1.294 1.795 -0.690
Ir -1.940 4.467 -0.518
Ir -3.898 5.454 -2.066
Ir -2.639 0.224 -2.402
Ir -3.890 1.213 -0.193
Ir -5.848 2.200 -1.740
Ir -5.149 6.443 0.143
Ir -6.494 4.872 -1.569
Os -5.233 -0.471 -1.907
Os -4.486 3.783 -0.032
Os -3.302 2.884 -2.227
Os -2.555 7.138 -0.352

4.
3
Lattice="-0.690 3.289 0.831 -2.497 -2.391 0.182 1.186 -0.895 4.526" Properties=species:S:1:pos:R:3 comment="IrOs2 SCAN PBEsol geometry" polymorph_energy_ev_per_atom=1.338 volume_a3_per_atom=16.48 total_energy_ev_per_atom=-70.29 dos_at_fermi_per_ev_atom=0.90 magnetic_moment_mub_per_atom=0.00 pbc="T T T"
Os -1.469 -0.819 2.023
Os -0.532 0.822 3.516
Ir 0.000 0.000 0.000

5.
6
Lattice="2.732 0.000 0.000 0.000 4.324 0.000 -1.366 0.000 7.106" Properties=species:S:1:pos:R:3 comment="IrOs5 SCAN PBEsol geometry" polymorph_energy_ev_per_atom=0.003 volume_a3_per_atom=13.99 total_energy_ev_per_atom=-71.76 dos_at_fermi_per_ev_atom=0.56 magnetic_moment_mub_per_atom=0.00 pbc="T T T"
Ir 0.000 0.000 0.006
Os 0.000 2.162 3.162
Os 1.366 0.000 2.384
Os 0.000 0.000 4.712
Os 1.366 2.162 5.522
Os 1.366 2.162 0.796

6.
2
Lattice="-0.225 -2.558 -0.902 0.924 1.952 -1.657 4.077 -0.820 1.308" Properties=species:S:1:pos:R:3 comment="IrOs SCAN PBEsol geometry" volume_a3_per_atom=13.99 total_energy_ev_per_atom=-71.45 dos_at_fermi_per_ev_atom=0.69 magnetic_moment_mub_per_atom=0.00 pbc="T T T"
Os 2.197 -1.465 -0.500
Ir 0.000 0.000 0.000

7.
2
Lattice="-1.610 -2.160 -0.041 2.097 -1.575 0.621 -0.746 0.485 3.746" Properties=species:S:1:pos:R:3 comment="IrOs SCAN PBEsol geometry" volume_a3_per_atom=13.98 total_energy_ev_per_atom=-71.44 dos_at_fermi_per_ev_atom=0.81 magnetic_moment_mub_per_atom=0.00 pbc="T T T"
Ir 0.000 0.000 0.000
Os -0.130 -1.625 2.163

8.
6
Lattice="-0.849 -2.492 -0.714 3.661 -0.763 3.520 -5.338 0.815 3.501" Properties=species:S:1:pos:R:3 comment="Ir2Os SCAN PBEsol geometry" polymorph_energy_ev_per_atom=0.047 volume_a3_per_atom=14.04 total_energy_ev_per_atom=-71.32 dos_at_fermi_per_ev_atom=0.79 magnetic_moment_mub_per_atom=0.00 pbc="T T T"
Os -2.562 -1.514 3.119
Os 0.037 -0.926 3.187
Ir -2.845 -0.653 5.661
Ir 0.319 -1.786 0.646
Ir -1.054 -2.578 5.040
Ir -1.472 0.139 1.266

9.
4
Lattice="2.723 0.000 0.000 0.000 4.338 0.000 0.000 0.000 4.733" Properties=species:S:1:pos:R:3 comment="IrOs SCAN PBEsol geometry" volume_a3_per_atom=13.98 total_energy_ev_per_atom=-71.46 dos_at_fermi_per_ev_atom=0.65 magnetic_moment_mub_per_atom=0.00 pbc="T T T"
Os 1.362 3.253 3.950
Os 1.362 1.084 0.783
Ir 0.000 3.253 1.585
Ir 0.000 1.084 3.148

10.
9
Lattice="3.824 0.000 0.000 1.912 5.745 0.000 1.912 0.000 5.745" Properties=species:S:1:pos:R:3 comment="Ir5Os4 SCAN PBEsol geometry" volume_a3_per_atom=14.03 total_energy_ev_per_atom=-71.43 dos_at_fermi_per_ev_atom=0.70 magnetic_moment_mub_per_atom=0.00 pbc="T T T"
Os 3.824 3.803 3.803
Os 1.912 3.803 1.942
Os 3.824 1.942 1.942
Os 1.912 1.942 3.803
Ir 1.912 1.932 0.000
Ir 3.824 3.814 0.000
Ir 0.000 0.000 0.000
Ir 1.912 0.000 1.932
Ir 3.824 0.000 3.814

11.
6
Lattice="-0.842 -2.501 -0.607 0.679 -0.832 2.486 -10.556 2.639 3.766" Properties=species:S:1:pos:R:3 comment="Ir5Os SCAN PBEsol geometry" polymorph_energy_ev_per_atom=0.003 volume_a3_per_atom=14.07 total_energy_ev_per_atom=-71.23 dos_at_fermi_per_ev_atom=0.70 magnetic_moment_mub_per_atom=0.00 pbc="T T T"
Ir -7.106 0.090 3.445
Ir -8.824 2.206 3.148
Ir -3.613 -0.783 2.199
Ir -1.732 0.433 0.618
Ir -5.278 1.320 1.883
Os -0.081 -1.666 0.939

12.
6
Lattice="-2.837 0.068 -2.569 2.478 -0.938 -2.762 0.399 -5.604 2.261" Properties=species:S:1:pos:R:3 comment="Ir5Os SCAN PBEsol geometry" polymorph_energy_ev_per_atom=0.000 volume_a3_per_atom=14.03 total_energy_ev_per_atom=-71.23 dos_at_fermi_per_ev_atom=0.72 magnetic_moment_mub_per_atom=0.00 pbc="T T T"
Ir -0.333 -1.818 0.319
Ir -0.518 -2.286 -2.341
Ir -2.105 -3.718 -0.626
Ir 0.559 -4.187 -0.729
Ir 1.239 -0.469 -1.381
Os -1.418 0.034 -1.284

13.
6
Lattice="2.727 0.000 0.000 -1.363 4.978 -0.003 0.000 -1.614 6.224" Properties=species:S:1:pos:R:3 comment="Ir5Os SCAN PBEsol geometry" polymorph_energy_ev_per_atom=0.076 volume_a3_per_atom=14.08 total_energy_ev_per_atom=-71.15 dos_at_fermi_per_ev_atom=0.92 magnetic_moment_mub_per_atom=0.00 pbc="T T T"
Os 1.363 0.691 5.881
Ir 0.000 2.224 4.155
Ir 0.000 -1.596 6.218
Ir 1.363 1.122 2.072
Ir 0.000 -0.420 3.829
Ir 0.000 3.407 1.697

14.
3
Lattice="2.705 0.000 0.000 -1.352 2.342 0.000 0.000 0.000 6.647" Properties=species:S:1:pos:R:3 comment="Ir2Os SCAN PBEsol geometry" polymorph_energy_ev_per_atom=0.024 volume_a3_per_atom=14.03 total_energy_ev_per_atom=-71.34 dos_at_fermi_per_ev_atom=0.85 magnetic_moment_mub_per_atom=0.00 pbc="T T T"
Ir 0.000 1.561 4.461
Ir 1.352 0.781 2.185
Os 0.000 0.000 0.000

15.
6
Lattice="2.726 0.000 0.000 0.000 4.354 0.000 -1.363 0.000 7.090" Properties=species:S:1:pos:R:3 comment="Ir2Os SCAN PBEsol geometry" polymorph_energy_ev_per_atom=0.043 volume_a3_per_atom=14.02 total_energy_ev_per_atom=-71.32 dos_at_fermi_per_ev_atom=0.79 magnetic_moment_mub_per_atom=0.00 pbc="T T T"
Os 1.363 1.089 1.586
Os 0.000 3.266 5.503
Ir 0.000 1.089 3.912
Ir 0.000 3.266 0.765
Ir 1.363 3.266 3.178
Ir 1.363 1.089 6.325

16.
8
Lattice="-0.786 -3.984 -1.491 4.471 -0.313 -1.519 1.491 -2.099 4.822" Properties=species:S:1:pos:R:3 comment="IrOs SCAN PBEsol geometry" volume_a3_per_atom=13.99 total_energy_ev_per_atom=-71.47 dos_at_fermi_per_ev_atom=0.70 magnetic_moment_mub_per_atom=0.00 pbc="T T T"
Os 3.702 -3.012 2.959
Os 1.097 -2.335 2.524
Os 1.475 -3.384 -1.148
Os 4.080 -4.061 -0.713
Ir 4.805 -5.114 1.720
Ir 0.372 -1.282 0.091
Ir 2.986 -1.970 0.553
Ir 2.191 -4.426 1.258

17.
6
Lattice="-0.432 2.672 0.335 -4.649 -2.184 0.319 2.277 -0.382 5.990" Properties=species:S:1:pos:R:3 comment="Ir2Os SCAN PBEsol geometry" polymorph_energy_ev_per_atom=0.058 volume_a3_per_atom=14.03 total_energy_ev_per_atom=-71.31 dos_at_fermi_per_ev_atom=0.81 magnetic_moment_mub_per_atom=0.00 pbc="T T T"
Ir -3.149 -0.764 2.031
Ir 2.259 -0.384 5.986
Ir -1.727 -0.821 4.320
Ir -1.061 0.928 2.335
Os 0.839 -0.333 3.739
Os -0.216 0.603 6.020

18.
6
Lattice="3.906 0.000 0.000 0.000 4.643 0.000 0.000 0.000 5.965" Properties=species:S:1:pos:R:3 comment="Ir2Os SCAN PBEsol geometry" polymorph_energy_ev_per_atom=0.965 volume_a3_per_atom=18.03 total_energy_ev_per_atom=-70.40 dos_at_fermi_per_ev_atom=0.97 magnetic_moment_mub_per_atom=0.00 pbc="T T T"
Ir 0.000 3.689 3.674
Ir 0.000 0.954 2.291
Ir 1.953 1.367 5.274
Ir 1.953 3.276 0.691
Os 1.953 2.322 2.983
Os 0.000 0.000 0.000

19.
3
Lattice="-1.211 0.426 2.378 2.080 -1.169 1.269 2.176 5.468 -1.407" Properties=species:S:1:pos:R:3 comment="IrOs2 SCAN PBEsol geometry" polymorph_energy_ev_per_atom=0.066 volume_a3_per_atom=13.98 total_energy_ev_per_atom=-71.56 dos_at_fermi_per_ev_atom=0.73 magnetic_moment_mub_per_atom=0.00 pbc="T T T"
Os 0.882 1.722 0.141
Os 2.163 3.003 2.099
Ir 0.434 -0.371 1.824

20.
6
Lattice="2.723 0.000 0.000 0.000 4.386 0.000 -1.361 0.000 7.088" Properties=species:S:1:pos:R:3 comment="Ir5Os SCAN PBEsol geometry" polymorph_energy_ev_per_atom=0.078 volume_a3_per_atom=14.11 total_energy_ev_per_atom=-71.15 dos_at_fermi_per_ev_atom=0.88 magnetic_moment_mub_per_atom=0.00 pbc="T T T"
Ir 0.000 2.193 3.185
Ir 0.000 0.000 4.728
Ir 0.000 0.000 0.002
Ir 1.361 0.000 2.349
Ir 1.361 2.193 0.761
Os 1.361 2.193 5.515